Record 1
{
  "formula": "RbTl2Te6",
  "functional": "GGA-PBE",
  "state": "relaxed",
  "relative_energy_kj_per_mol_atoms": 7.2,
  "sg": "Imm2",
  "raw_formation_energy_kj_per_mol_fu": -196,
  "e_tot_ev_per_atom": -2.954,
  "lattice_angstrom": [[-2.102, 5.320, 7.941], [2.102, -5.320, 7.941], [2.102, 5.320, -7.941]],
  "species": ["Rb", "Tl", "Tl", "Te", "Te", "Te", "Te", "Te", "Te"],
  "frac_coords": [[0.000, 0.000, 0.000], [0.367, 0.867, 0.500], [0.634, 0.134, 0.500], [0.051, 0.323, 0.728], [0.302, 0.501, 0.801], [0.406, 0.678, 0.728], [0.595, 0.323, 0.272], [0.700, 0.501, 0.199], [0.950, 0.678, 0.272]]
}

Record 2
{
  "formula": "KCuAg2Cl6",
  "functional": "GGA-PBE",
  "state": "relaxed",
  "sg": "P1",
  "raw_formation_energy_kj_per_mol_fu": -701,
  "e_tot_ev_per_atom": -2.924,
  "lattice_angstrom": [[6.786, 0.000, 0.000], [2.295, 6.404, 0.000], [0.145, 3.202, 6.170]],
  "species": ["K", "Cu", "Ag", "Ag", "Cl", "Cl", "Cl", "Cl", "Cl", "Cl"],
  "frac_coords": [[0.000, 0.000, 0.000], [0.454, 0.083, 0.400], [0.300, 0.446, 0.817], [0.782, 0.446, 0.352], [0.066, 0.478, 0.114], [0.277, 0.896, 0.647], [0.457, 0.890, 0.202], [0.555, 0.231, 0.616], [0.612, 0.309, 0.133], [0.958, 0.517, 0.608]]
}

- Number 1 is which compound?
  RbTl2Te6